# YWI2O, relaxed, DFT GGA+U
data_YWI2O
_symmetry_space_group_name_H-M 'P 4/m m m'
_symmetry_Int_Tables_number 123
_symmetry_space_group_name_Hall '-P 4 2'
_cell_length_a 6.032
_cell_length_b 6.032
_cell_length_c 3.899
_cell_angle_alpha 90.00
_cell_angle_beta 90.00
_cell_angle_gamma 90.00
loop_
_atom_site_label
_atom_site_type_symbol
_atom_site_fract_x
_atom_site_fract_y
_atom_site_fract_z
_atom_site_occupancy
Y1 Y 0.000 0.000 0.000 1
W1 W 0.500 0.500 0.500 1
I1 I 0.000 0.500 0.500 1
O1 O 0.500 0.500 0.000 1
# M_tot (μB/atom): 0.55
# Calculated volume (Å³/cell): 142
# Excess energy over the best structure of this formula in the dataset (eV per formula unit): 0.56